[1]
## Sr2LiZnPd (GGA-PBE)

Data for a relaxed structure of Sr2LiZnPd.

Cell: 5.860 5.860 4.972 Å, 90.00 90.00 90.00°
Space group P4/mmm (No. 123)
Inequivalent atoms, fractional coordinates:
Sr 0.000 0.500 0.000 x2
Li 0.000 0.000 0.500 x1
Zn 0.500 0.500 0.500 x1
Pd 0.500 0.500 0.000 x1

Computed properties:
* energy of formation: -200 meV/atom
* relative energy among the computed polymorphs: 0.0000 eV/atom

***

[2]
## HgSeBr2 (GGA-PBE)

Data for a relaxed structure of HgSeBr2.

Cell: 7.154 8.052 5.363 Å, 90.00 131.05 90.00°
Space group C2/m (No. 12)
Inequivalent atoms, fractional coordinates:
Hg 0.000 0.000 0.000 x2
Se 0.000 0.500 0.000 x2
Br 0.250 0.250 0.500 x4

Computed properties:
* relative energy among the computed polymorphs: 0.2562 eV/atom
* E_form (uncorrected): 0.3 eV per formula unit

***

[3]
## PrYHo2Er6 (GGA-PBE)

Data for a relaxed structure of PrYHo2Er6.

Cell: 9.034 15.006 9.475 Å, 90.00 96.68 90.00°
Space group C2/c (No. 15)
Inequivalent atoms, fractional coordinates:
Pr 0.000 0.027 0.250 x4
Y 0.000 0.410 0.750 x4
Ho 0.248 0.446 0.453 x8
Er 0.063 0.187 0.942 x8
Er 0.100 0.391 0.118 x8
Er 0.207 0.227 0.318 x8

Computed properties:
* energy of formation: 120 meV/atom